Here is an optimized crystal structure of MgMnVF6 from Alexandria. Energies are from GGA+U.

The calculation puts the total energy at -108.88 eV per cell.

```
MgMnVF6
1.0
4.8578 0.0000 0.0000
0.0000 4.8578 0.0000
0.0000 0.0000 9.7359
Mg Mn V F
2 2 2 12
Cartesian
0.0000 0.0000 0.0000 Mg
2.4289 2.4289 4.8680 Mg
0.0000 0.0000 6.4924 Mn
2.4289 2.4289 1.6244 Mn
0.0000 0.0000 3.2514 V
2.4289 2.4289 8.1194 V
0.9223 0.9223 1.5572 F
0.9323 0.9323 8.1952 F
0.9948 0.9948 4.8597 F
1.4341 3.4237 9.7277 F
1.4966 3.3612 3.3272 F
1.5066 3.3512 6.4251 F
3.3512 1.5066 6.4251 F
3.3612 1.4966 3.3272 F
3.4237 1.4341 9.7277 F
3.8630 3.8630 4.8597 F
3.9256 3.9256 8.1952 F
3.9356 3.9356 1.5572 F
```